No. 1
{"formula": "Cs3Th3CdS8", "functional": "PBE", "state": "optimized geometry", "lattice": [[-4.007, -5.632, -4.718], [8.349, 0.491, -0.254], [-3.727, -3.885, 7.800]], "species": ["Cs", "Cs", "Cs", "Th", "Th", "Th", "Cd", "S", "S", "S", "S", "S", "S", "S", "S"], "frac_coords": [[0.000, 0.000, 0.000], [0.000, 0.500, 0.000], [0.500, 0.500, 0.000], [0.500, 0.000, 0.500], [0.500, 0.500, 0.500], [0.000, 0.500, 0.500], [0.000, 0.000, 0.500], [0.270, 0.541, 0.311], [0.730, 0.459, 0.689], [0.770, 0.541, 0.322], [0.230, 0.459, 0.678], [0.770, 0.052, 0.322], [0.230, 0.948, 0.678], [0.282, 0.052, 0.322], [0.718, 0.948, 0.678]], "total_magnetization_mub_per_atom": 0.00, "raw_formation_energy_kj_per_mol_atoms": -150.5}

No. 2
{"formula": "ThScAlZn", "functional": "PBE", "state": "optimized geometry", "lattice": [[-0.927, -4.592, 1.833], [3.359, -2.234, 3.004], [-1.007, -0.599, 4.892]], "species": ["Sc", "Zn", "Al", "Th"], "frac_coords": [[0.250, 0.250, 0.250], [0.000, 0.000, 0.000], [0.500, 0.500, 0.500], [0.750, 0.750, 0.750]], "total_magnetization_mub_per_atom": 0.00, "delta_e_f_ev_per_atom": -0.292}

No. 3
{"formula": "LuPuCo", "functional": "PBE", "state": "optimized geometry", "lattice": [[4.604, 0.000, 0.000], [2.302, 3.987, 0.000], [2.302, 1.329, 3.759]], "species": ["Lu", "Co", "Pu"], "frac_coords": [[0.500, 0.500, 0.500], [0.250, 0.250, 0.250], [0.000, 0.000, 0.000]], "total_magnetization_mub_per_atom": 1.91, "relative_energy_ev_per_fu": 0.28, "delta_e_f_ev_per_atom": 0.083}

No. 4
{"formula": "Li2Tm2ThIn2", "functional": "PBE", "state": "optimized geometry", "lattice": [[-3.506, 3.172, -1.138], [-4.279, -1.601, -1.667], [-5.628, 0.108, 7.250]], "species": ["Li", "Li", "Tm", "Tm", "Th", "In", "In"], "frac_coords": [[0.590, 0.590, 0.229], [0.410, 0.410, 0.771], [0.130, 0.130, 0.610], [0.870, 0.870, 0.390], [0.000, 0.000, 0.000], [0.740, 0.740, 0.781], [0.260, 0.260, 0.219]], "total_magnetization_mub_per_atom": 0.00, "delta_e_f_ev_per_atom": -0.162}

No. 5
{"formula": "LiWS2", "functional": "PBE", "state": "optimized geometry", "lattice": [[-3.037, -2.116, -2.130], [-3.777, -0.749, 1.848], [-3.487, 2.060, -1.357]], "species": ["S", "S", "W", "Li"], "frac_coords": [[0.250, 0.250, 0.250], [0.750, 0.750, 0.750], [0.500, 0.500, 0.500], [0.000, 0.000, 0.000]], "total_magnetization_mub_per_atom": 0.24, "raw_formation_energy_kj_per_mol_atoms": -26.1}

No. 6
{"formula": "Li9Mg2Tl3", "functional": "PBE", "state": "optimized geometry", "lattice": [[4.631, 0.000, -0.948], [-0.773, 6.876, -3.775], [-0.665, 0.093, 8.535]], "species": ["Li", "Li", "Li", "Li", "Li", "Li", "Li", "Li", "Li", "Mg", "Mg", "Tl", "Tl", "Tl"], "frac_coords": [[0.000, 0.500, 0.000], [0.305, 0.955, 0.609], [0.695, 0.045, 0.391], [0.305, 0.654, 0.609], [0.695, 0.346, 0.391], [0.135, 0.875, 0.271], [0.865, 0.125, 0.729], [0.135, 0.396, 0.271], [0.865, 0.604, 0.729], [0.500, 0.256, 0.000], [0.500, 0.744, 0.000], [0.000, 0.000, 0.000], [0.322, 0.322, 0.645], [0.678, 0.678, 0.355]], "total_magnetization_mub_per_atom": 0.00, "delta_e_f_ev_per_atom": -0.091}

No. 7
{"formula": "Er4Tl2Ga", "functional": "PBE", "state": "optimized geometry", "lattice": [[8.231, -0.313, 1.152], [-0.904, 8.182, -1.168], [-2.589, -4.945, 6.167]], "species": ["Er", "Er", "Er", "Er", "Er", "Er", "Er", "Er", "Tl", "Tl", "Tl", "Tl", "Ga", "Ga"], "frac_coords": [[0.909, 0.150, 0.242], [0.341, 0.601, 0.259], [0.909, 0.666, 0.758], [0.781, 0.048, 0.735], [0.312, 0.045, 0.266], [0.341, 0.084, 0.742], [0.469, 0.702, 0.765], [0.938, 0.705, 0.233], [0.625, 0.375, 0.750], [0.625, 0.875, 0.250], [0.625, 0.375, 0.250], [0.125, 0.375, 0.750], [0.120, 0.621, 0.499], [0.130, 0.129, 0.001]], "total_magnetization_mub_per_atom": 0.00, "relative_energy_ev_per_fu": 0.28, "delta_e_f_ev_per_atom": -0.200}

No. 8
{"formula": "MgTlSe2O8", "functional": "PBE", "state": "optimized geometry", "lattice": [[-3.471, 0.872, -3.556], [1.332, 0.057, -4.866], [-2.114, -7.194, -3.279]], "species": ["Mg", "Tl", "Se", "Se", "O", "O", "O", "O", "O", "O", "O", "O"], "frac_coords": [[0.000, 0.000, 0.000], [0.500, 0.500, 0.500], [0.258, 0.258, 0.226], [0.742, 0.742, 0.774], [0.183, 0.183, 0.450], [0.603, 0.262, 0.167], [0.817, 0.817, 0.550], [0.968, 0.603, 0.167], [0.032, 0.397, 0.833], [0.262, 0.968, 0.167], [0.738, 0.032, 0.833], [0.397, 0.738, 0.833]], "total_magnetization_mub_per_atom": 0.00, "raw_formation_energy_kj_per_mol_atoms": -92.3}

No. 9
{"formula": "CoHCSe", "functional": "PBE", "state": "optimized geometry", "lattice": [[5.804, 0.000, -0.009], [0.000, 3.113, 0.000], [-0.835, 0.000, 5.853]], "species": ["Co", "Co", "H", "H", "C", "C", "Se", "Se"], "frac_coords": [[0.988, 0.000, 0.385], [0.988, 0.500, 0.885], [0.245, 0.000, 0.416], [0.245, 0.500, 0.916], [0.981, 0.000, 0.058], [0.981, 0.500, 0.558], [0.655, 0.000, 0.889], [0.655, 0.500, 0.389]], "total_magnetization_mub_per_atom": 0.00, "relative_energy_ev_per_fu": 1.49}

No. 10
{"formula": "Pr4Er4Sc", "functional": "PBE", "state": "optimized geometry", "lattice": [[5.020, 0.000, 0.000], [2.510, 7.597, 0.000], [2.510, 0.000, 7.597]], "species": ["Pr", "Pr", "Pr", "Pr", "Er", "Er", "Er", "Er", "Sc"], "frac_coords": [[0.664, 0.672, 0.000], [0.336, 0.328, 0.000], [0.664, 0.000, 0.672], [0.336, 0.000, 0.328], [0.666, 0.334, 0.334], [0.334, 0.666, 0.666], [0.000, 0.666, 0.334], [0.000, 0.334, 0.666], [0.000, 0.000, 0.000]], "total_magnetization_mub_per_atom": 0.00, "relative_energy_ev_per_fu": 0.00, "delta_e_f_ev_per_atom": 0.034}

No. 11
{"formula": "CaNiRh2", "functional": "PBE", "state": "optimized geometry", "lattice": [[4.502, 0.000, 0.000], [2.251, 3.899, 0.000], [2.251, 1.300, 3.676]], "species": ["Ni", "Ca", "Rh", "Rh"], "frac_coords": [[0.250, 0.250, 0.250], [0.500, 0.500, 0.500], [0.000, 0.000, 0.000], [0.750, 0.750, 0.750]], "total_magnetization_mub_per_atom": 0.47, "relative_energy_ev_per_fu": 0.43, "delta_e_f_ev_per_atom": 0.112}

No. 12
{"formula": "Al2CuSn", "functional": "PBE", "state": "optimized geometry", "lattice": [[4.155, 0.000, 0.000], [2.078, 3.599, 0.000], [2.078, 1.200, 5.223]], "species": ["Al", "Al", "Cu", "Sn"], "frac_coords": [[0.052, 0.052, 0.844], [0.284, 0.284, 0.147], [0.668, 0.668, 0.996], [0.496, 0.496, 0.513]], "total_magnetization_mub_per_atom": 0.00, "delta_e_f_ev_per_atom": 0.041}

No. 13
{"formula": "NaAcMgSn2", "functional": "PBE", "state": "optimized geometry", "lattice": [[-3.354, -3.363, -0.036], [0.727, -0.676, -4.644], [5.849, -2.519, 3.711]], "species": ["Na", "Ac", "Mg", "Sn", "Sn"], "frac_coords": [[0.250, 0.750, 0.500], [0.000, 0.000, 0.000], [0.750, 0.250, 0.500], [0.610, 0.610, 0.219], [0.390, 0.390, 0.781]], "total_magnetization_mub_per_atom": 0.00, "delta_e_f_ev_per_atom": -0.386}

No. 14
{"formula": "Ba2NaSb3Pd4", "functional": "PBE", "state": "optimized geometry", "lattice": [[4.755, 0.000, 0.000], [0.000, 4.755, 0.000], [0.000, 0.000, 10.968]], "species": ["Ba", "Ba", "Na", "Sb", "Sb", "Sb", "Pd", "Pd", "Pd", "Pd"], "frac_coords": [[0.500, 0.000, 0.245], [0.000, 0.500, 0.755], [0.500, 0.500, 0.500], [0.000, 0.000, 0.500], [0.500, 0.000, 0.877], [0.000, 0.500, 0.123], [0.500, 0.500, 0.000], [0.000, 0.000, 0.000], [0.500, 0.000, 0.633], [0.000, 0.500, 0.367]], "total_magnetization_mub_per_atom": 0.00, "raw_formation_energy_kj_per_mol_atoms": -72.3}

No. 15
{"formula": "Ta2BeTl", "functional": "PBE", "state": "optimized geometry", "lattice": [[4.393, 0.000, 0.000], [0.000, 3.968, 0.000], [0.000, 0.000, 3.968]], "species": ["Be", "Tl", "Ta", "Ta"], "frac_coords": [[0.500, 0.000, 0.500], [0.500, 0.500, 0.000], [0.000, 0.000, 0.000], [0.000, 0.500, 0.500]], "total_magnetization_mub_per_atom": 0.00, "relative_energy_ev_per_fu": 0.49, "delta_e_f_ev_per_atom": 0.426}

No. 16
{"formula": "LiP2", "functional": "PBE", "state": "optimized geometry", "lattice": [[4.380, 0.000, 0.000], [-2.190, 3.794, 0.000], [0.000, 0.000, 2.580]], "species": ["Li", "P", "P"], "frac_coords": [[0.000, 0.000, 0.000], [0.333, 0.667, 0.500], [0.667, 0.333, 0.500]], "total_magnetization_mub_per_atom": 0.00, "relative_energy_ev_per_fu": 0.98, "delta_e_f_ev_per_atom": -0.011}

No. 17
{"formula": "Sr2LiSi2", "functional": "PBE", "state": "optimized geometry", "lattice": [[5.248, 0.000, 0.000], [0.000, 5.248, 0.000], [2.624, 2.624, 5.958]], "species": ["Sr", "Sr", "Si", "Si", "Li"], "frac_coords": [[0.750, 0.250, 0.500], [0.250, 0.750, 0.500], [0.405, 0.405, 0.190], [0.595, 0.595, 0.810], [0.000, 0.000, 0.000]], "total_magnetization_mub_per_atom": 0.00, "raw_formation_energy_kj_per_mol_atoms": 9.7}